## K2LiAl (PBE)

Data for a relaxed K2LiAl crystal.

Lattice parameters (Å, degrees): 8.7045 8.7045 8.7045 33.07 33.07 33.07
Closest atoms and distances in Å follow each position.
Positions (direct):
K: 0.0000 0.0000 0.0000  3 Li 3.66, 3 Al 3.66
K: 0.1856 0.1856 0.1856  3 Al 3.67, 3 Li 3.67
Li: 0.7592 0.7592 0.7592  3 Al 2.86
Al: 0.4259 0.4259 0.4259  3 Li 2.86

Calculated values
Energy of formation from the pure elements: 234 meV per atom
VASP energy: -1.7288 eV/atom
M_tot: 0.00 μB per cell
Symmetry: R3m, No. 160